(1)
# Hf2HgB (PBE-GGA, optimized geometry)
data_Hf2HgB
_cell_length_a 6.9662
_cell_length_b 6.9662
_cell_length_c 6.2841
_cell_angle_alpha 90.00
_cell_angle_beta 90.00
_cell_angle_gamma 90.00
_symmetry_space_group_name_H-M 'I -4 2 d'
_symmetry_Int_Tables_number 122
_symmetry_space_group_name_Hall 'I -4 2bw'
loop_
_atom_site_label
_atom_site_type_symbol
_atom_site_fract_x
_atom_site_fract_y
_atom_site_fract_z
_atom_site_occupancy
Hf1 Hf 0.1872 0.2500 0.1250 1
Hg1 Hg 0.0000 0.0000 0.5000 1
B1 B 0.0000 0.0000 0.0000 1
# V (Å³ per cell): 305.0
# DFT formation energy (eV per atom): 0.14
# Offset from the most stable computed form (eV/atom): 0.537


(2)
# HfHgB3 (PBE-GGA, optimized geometry)
data_HfHgB3
_cell_length_a 4.4941
_cell_length_b 4.4941
_cell_length_c 4.4941
_cell_angle_alpha 90.00
_cell_angle_beta 90.00
_cell_angle_gamma 90.00
_symmetry_space_group_name_H-M 'P m -3 m'
_symmetry_Int_Tables_number 221
_symmetry_space_group_name_Hall '-P 4 2 3'
loop_
_atom_site_label
_atom_site_type_symbol
_atom_site_fract_x
_atom_site_fract_y
_atom_site_fract_z
_atom_site_occupancy
Hf1 Hf 0.0000 0.0000 0.0000 1
Hg1 Hg 0.5000 0.5000 0.5000 1
B1 B 0.0000 0.0000 0.5000 1
# V (Å³ per cell): 90.8
# DFT formation energy (eV per atom): 1.75
# Offset from the most stable computed form (eV/atom): 0.000


Number 1: DOS(E_F) 0.413 states/eV/atom, raw total energy -6.5780 eV/atom. Number 2: DOS(E_F) 0.471 states/eV/atom, raw total energy -4.3036 eV/atom.